(1)
Crystalline UH2Pb at its relaxed geometry. Source: Alexandria, functional PBE-GGA.

Cell and atoms, written as POSCAR:
```
UH2Pb
1.0
1.818 1.049 5.453
-1.818 1.049 5.453
0.000 -2.099 5.453
U H Pb
1 2 1
Direct
0.000 0.000 0.000
0.303 0.303 0.303
0.697 0.697 0.697
0.500 0.500 0.500
```

Properties
Electronic total energy: -0.40606 Ry per atom
Space-group type: R-3m
DOS(E_F): 1.1424 states/eV per atom

(2)
Crystalline ZrTa2C at its relaxed geometry. Source: Alexandria, functional PBE-GGA.

Cell and atoms, written as POSCAR:
```
ZrTa2C
1.0
0.000 3.186 3.186
3.186 0.000 3.186
3.186 3.186 0.000
Zr Ta C
1 2 1
Direct
0.000 0.000 0.000
0.250 0.250 0.250
0.500 0.500 0.500
0.750 0.750 0.750
```

Properties
Electronic total energy: -0.68286 Ry per atom
ΔE_f: 1079 meV per atom
Space-group type: F-43m
DOS(E_F): 0.6878 states/eV per atom

(3)
Crystalline LaCeCd4 at its relaxed geometry. Source: Alexandria, functional PBE-GGA.

Cell and atoms, written as POSCAR:
```
LaCeCd4
1.0
3.361 0.000 0.000
0.000 5.159 0.000
0.000 0.000 8.933
La Ce Cd
1 1 4
Direct
0.000 0.000 0.000
0.000 0.500 0.500
0.500 0.000 0.336
0.500 0.000 0.664
0.500 0.500 0.169
0.500 0.500 0.831
```

Properties
Electronic total energy: -0.20069 Ry per atom
ΔE_f: -310 meV per atom
Space-group type: Pmmm
DOS(E_F): 1.5374 states/eV per atom

(4)
Crystalline Pm3BiSe at its relaxed geometry. Source: Alexandria, functional PBE-GGA.

Cell and atoms, written as POSCAR:
```
Pm3BiSe
1.0
5.515 0.000 0.000
0.000 5.515 0.000
0.000 0.000 5.515
Pm Bi Se
3 1 1
Direct
0.000 0.000 0.500
0.000 0.500 0.000
0.500 0.000 0.000
0.500 0.500 0.500
0.000 0.000 0.000
```

Properties
Electronic total energy: -0.36847 Ry per atom
Raw formation energy: -67 kJ per mole of atoms
Space-group type: Pm-3m
DOS(E_F): 1.1988 states/eV per atom

(5)
Crystalline InRuSeN2 at its relaxed geometry. Source: Alexandria, functional PBE-GGA.

Cell and atoms, written as POSCAR:
```
InRuSeN2
1.0
3.941 0.000 0.000
0.000 3.941 0.000
0.000 0.000 5.870
In Ru Se N
1 1 1 2
Direct
0.000 0.000 0.000
0.500 0.500 0.500
0.500 0.500 0.000
0.000 0.500 0.500
0.500 0.000 0.500
```

Properties
Electronic total energy: -0.42434 Ry per atom
Raw formation energy: 63 kJ per mole of atoms
Space-group type: P4/mmm
DOS(E_F): 0.4392 states/eV per atom

(6)
Crystalline Sm5PuIn6 at its relaxed geometry. Source: Alexandria, functional PBE-GGA.

Cell and atoms, written as POSCAR:
```
Sm5PuIn6
1.0
-2.708 3.818 8.127
2.708 -3.818 8.127
2.708 3.818 -8.127
Sm Pu In
5 1 6
Direct
0.000 0.000 0.000
0.168 0.668 0.500
0.338 0.338 0.000
0.662 0.662 0.000
0.832 0.332 0.500
0.500 0.000 0.500
0.079 0.832 0.247
0.244 0.500 0.744
0.415 0.168 0.247
0.585 0.832 0.753
0.756 0.500 0.256
0.921 0.168 0.753
```

Properties
Electronic total energy: -0.36370 Ry per atom
ΔE_f: -419 meV per atom
Space-group type: Immm
DOS(E_F): 1.1098 states/eV per atom

(7)
Crystalline Y2InWC at its relaxed geometry. Source: Alexandria, functional PBE-GGA.

Cell and atoms, written as POSCAR:
```
Y2InWC
1.0
4.977 0.000 0.000
0.000 4.977 0.000
0.000 0.000 4.151
Y In W C
2 1 1 1
Direct
0.000 0.500 0.000
0.500 0.000 0.000
0.000 0.000 0.500
0.500 0.500 0.500
0.500 0.500 0.000
```

Properties
Electronic total energy: -0.57382 Ry per atom
ΔE_f: -238 meV per atom
Space-group type: P4/mmm
DOS(E_F): 0.6946 states/eV per atom

(8)
Crystalline Ba3Nd at its relaxed geometry. Source: Alexandria, functional PBE-GGA.

Cell and atoms, written as POSCAR:
```
Ba3Nd
1.0
3.891 0.000 0.000
0.000 4.108 0.000
0.000 0.000 13.292
Ba Nd
3 1
Direct
0.000 0.000 0.000
0.000 0.500 0.280
0.500 0.500 0.733
0.500 0.000 0.494
```

Properties
Electronic total energy: -0.17470 Ry per atom
ΔE_f: 257 meV per atom
Space-group type: Pmm2
DOS(E_F): 1.7224 states/eV per atom

Question: Among the records above, which one has the highest DOS(E_F)?
Answer: Ba3Nd

Please write out number 7 again, unchanged.
Crystalline Y2InWC at its relaxed geometry. Source: Alexandria, functional PBE-GGA.

Cell and atoms, written as POSCAR:
```
Y2InWC
1.0
4.977 0.000 0.000
0.000 4.977 0.000
0.000 0.000 4.151
Y In W C
2 1 1 1
Direct
0.000 0.500 0.000
0.500 0.000 0.000
0.000 0.000 0.500
0.500 0.500 0.500
0.500 0.500 0.000
```

Properties
Electronic total energy: -0.57382 Ry per atom
ΔE_f: -238 meV per atom
Space-group type: P4/mmm
DOS(E_F): 0.6946 states/eV per atom

Copy entry 8 word for word.
Crystalline Ba3Nd at its relaxed geometry. Source: Alexandria, functional PBE-GGA.

Cell and atoms, written as POSCAR:
```
Ba3Nd
1.0
3.891 0.000 0.000
0.000 4.108 0.000
0.000 0.000 13.292
Ba Nd
3 1
Direct
0.000 0.000 0.000
0.000 0.500 0.280
0.500 0.500 0.733
0.500 0.000 0.494
```

Properties
Electronic total energy: -0.17470 Ry per atom
ΔE_f: 257 meV per atom
Space-group type: Pmm2
DOS(E_F): 1.7224 states/eV per atom